## LiZrBr3 (PBE-GGA)

Data for an optimized crystal structure of LiZrBr3.

* energy above the most stable polymorph in this dataset: 322 meV per atom
* raw formation energy: -0.50 eV/atom

Unit cell a=4.9363 b=4.9363 c=4.9363 alpha=90.00 beta=90.00 gamma=90.00
Space group Pm-3m (No. 221)
One atom of each set of equivalent atoms:
Li: 0.0000 0.0000 0.0000 [1 per cell]
Zr: 0.5000 0.5000 0.5000 [1 per cell]
Br: 0.0000 0.0000 0.5000 [3 per cell]

=====

## Bi2O3 (PBE-GGA)

Data for an optimized crystal structure of Bi2O3.

* raw formation energy: -1.17 eV/atom

Unit cell a=11.2022 b=11.2022 c=11.2022 alpha=90.00 beta=90.00 gamma=90.00
Space group Ia-3 (No. 206)
One atom of each set of equivalent atoms:
Bi: 0.0000 0.0000 0.0000 [8 per cell]
Bi: 0.0000 0.2500 0.2775 [24 per cell]
O: 0.0961 0.1455 0.6281 [48 per cell]

=====

## HPb (PBE-GGA)

Data for an optimized crystal structure of HPb.

* energy above the most stable polymorph in this dataset: 93 meV per atom

Unit cell a=5.1869 b=5.1869 c=5.1869 alpha=90.00 beta=90.00 gamma=90.00
Space group Fm-3m (No. 225)
One atom of each set of equivalent atoms:
H: 0.0000 0.0000 0.0000 [4 per cell]
Pb: 0.0000 0.0000 0.5000 [4 per cell]

=====

no.,V (A^3/atom),total magnetic moment (μB per cell)
1,24.1,2.00
2,17.6,0.00
3,17.4,0.00